1.
The following is a PBE calculation of LiCaP after structural relaxation, from Alexandria.

The value obtained for the energy relative to the elements is -0.848 eV/atom.

It has space group Pnma (No. 62), with a = 5.9714 Å, b = 4.4816 Å, c = 9.1043 Å, α = 90.00°, β = 90.00° and γ = 90.00°. The asymmetric unit holds Li at (0.0035, 0.2500, 0.2362), Ca at (0.2409, 0.7500, 0.4295) and P at (0.2429, 0.7500, 0.1144).



2.
The following is a PBE calculation of SrPrPtAu after structural relaxation, from Alexandria.

The value obtained for the energy relative to the elements is -0.799 eV/atom.

It has space group F-43m (No. 216), with a = 7.4191 Å, b = 7.4191 Å, c = 7.4191 Å, α = 90.00°, β = 90.00° and γ = 90.00°. The asymmetric unit holds Sr at (0.0000, 0.0000, 0.0000), Pr at (0.0000, 0.0000, 0.5000), Pt at (0.2500, 0.2500, 0.2500) and Au at (0.2500, 0.2500, 0.7500).



3.
The following is a PBE calculation of Rb2US2F4 after structural relaxation, from Alexandria.

For the formation energy (no corrections), the calculation gives -22.5 eV/f.u.

It has space group C2/m (No. 12), with a = 12.8166 Å, b = 6.4671 Å, c = 5.4707 Å, α = 90.00°, β = 93.26° and γ = 90.00°. The asymmetric unit holds Rb at (0.1467, 0.0000, 0.1357), U at (0.0000, 0.5000, 0.5000), S at (0.1760, 0.5000, 0.3522) and F at (0.0434, 0.2588, 0.7487).



4.
The following is a PBE calculation of TbNdGePd after structural relaxation, from Alexandria.

The value obtained for the energy relative to the elements is -0.753 eV/atom.

It has space group F-43m (No. 216), with a = 7.2281 Å, b = 7.2281 Å, c = 7.2281 Å, α = 90.00°, β = 90.00° and γ = 90.00°. The asymmetric unit holds Tb at (0.0000, 0.0000, 0.0000), Nd at (0.0000, 0.0000, 0.5000), Ge at (0.2500, 0.2500, 0.7500) and Pd at (0.2500, 0.2500, 0.2500).



5.
The following is a PBE calculation of CrHgRh2 after structural relaxation, from Alexandria.

The value obtained for the energy relative to the elements is 0.188 eV/atom.

It has space group Pmm2 (No. 25), with a = 2.8691 Å, b = 3.8374 Å, c = 5.7100 Å, α = 90.00°, β = 90.00° and γ = 90.00°. The asymmetric unit holds Cr at (0.0000, 0.0000, 0.0000), Hg at (0.5000, 0.5000, 0.2909), Rh at (0.0000, 0.0000, 0.5550) and Rh at (0.5000, 0.5000, 0.8022).



6.
The following is a PBE calculation of Ca3NbPt after structural relaxation, from Alexandria.

The value obtained for the energy relative to the elements is 0.275 eV/atom.

It has space group Pm-3m (No. 221), with a = 5.4939 Å, b = 5.4939 Å, c = 5.4939 Å, α = 90.00°, β = 90.00° and γ = 90.00°. The asymmetric unit holds Ca at (0.0000, 0.0000, 0.5000), Nb at (0.5000, 0.5000, 0.5000) and Pt at (0.0000, 0.0000, 0.0000).



What are the electronic total energy values for these records? In order: -47.48 -75.90 -102.96 -88.87 -23.88 -20.74 eV per cell.